VASP calculation (PBE-GGA) on a relaxed structure of Ba2CaLaS4.

Cell and atoms, written as POSCAR:
```
Ba2CaLaS4
1.0
7.414 0.000 0.000
0.000 4.295 0.000
-2.483 0.000 7.157
Ba Ca La S
2 1 1 4
direct
0.000 0.000 0.000 Ba
0.500 0.500 0.000 Ba
0.000 0.500 0.500 Ca
0.500 0.000 0.500 La
0.239 0.000 0.720 S
0.258 0.500 0.278 S
0.742 0.500 0.722 S
0.761 0.000 0.280 S
```

Values from the calculation:
Theoretical density   4.2 Mg/m³
Density of states at the Fermi level   3.16 states/eV/cell
Total magnetic moment   0.0 Bohr magnetons per cell
Formation energy without anion corrections   -2.08 eV/atom


VASP calculation (PBE-GGA) on a relaxed structure of BaSrS2.

Cell and atoms, written as POSCAR:
```
BaSrS2
1.0
4.365 0.000 0.000
-2.183 3.781 0.000
0.000 0.000 14.751
Ba Sr S
2 2 4
direct
0.333 0.667 0.250 Ba
0.667 0.333 0.750 Ba
0.000 0.000 0.000 Sr
0.000 0.000 0.500 Sr
0.333 0.667 0.617 S
0.333 0.667 0.883 S
0.667 0.333 0.117 S
0.667 0.333 0.383 S
```

Values from the calculation:
Theoretical density   3.9 Mg/m³
Relative energy among the computed polymorphs   22 meV/atom
Density of states at the Fermi level   0.00 states/eV/cell
Total magnetic moment   0.0 Bohr magnetons per cell
Formation energy without anion corrections   -2.08 eV/atom